Entry from Alexandria via LeMat-Bulk: BaNa2NbF8 after structural relaxation (PBE).

It has space group P-1 (No. 2), with a = 4.552 Å, b = 5.607 Å, c = 7.873 Å, α = 89.91°, β = 89.95° and γ = 88.05°. The distinct sites, in fractional coordinates, are Ba at (0.000, 0.000, 0.000), Na at (0.499, 0.499, 0.237), Nb at (0.000, 0.000, 0.500), F at (0.142, 0.786, 0.303), F at (0.142, 0.786, 0.697), F at (0.330, 0.218, 0.500) and F at (0.456, 0.260, 0.000).

The value obtained for the formation energy without anion corrections is -3.095 eV/atom.